a.
# Nb2ZnHRh

An optimized crystal structure of Nb2ZnHRh (PBE, the Alexandria database).

Properties
Crystal system ... tetragonal

POSCAR file:
```
Nb2ZnHRh
1.0
4.021 0.000 0.000
0.000 4.021 0.000
0.000 0.000 4.130
Nb Zn H Rh
2 1 1 1
Direct
0.000 0.500 0.000 Nb
0.500 0.000 0.000 Nb
0.000 0.000 0.500 Zn
0.000 0.000 0.000 H
0.500 0.500 0.500 Rh
```

---

b.
# Nb2ZnHRh

An optimized crystal structure of Nb2ZnHRh (PBE, the Alexandria database).

Properties
Crystal system ... tetragonal

POSCAR file:
```
Nb2ZnHRh
1.0
4.096 0.000 0.000
0.000 4.096 0.000
0.000 0.000 3.994
Nb Zn H Rh
2 1 1 1
Direct
0.000 0.500 0.000 Nb
0.500 0.000 0.000 Nb
0.000 0.000 0.500 Zn
0.500 0.500 0.000 H
0.500 0.500 0.500 Rh
```

---

Which of them is the least stable? Correct choice: a.

---

a.
# NbZnHRh2

An optimized crystal structure of NbZnHRh2 (PBE, the Alexandria database).

Properties
Crystal system ... tetragonal

POSCAR file:
```
NbZnHRh2
1.0
4.007 0.000 0.000
0.000 4.007 0.000
0.000 0.000 3.903
Nb Zn H Rh
1 1 1 2
Direct
0.000 0.000 0.000 Nb
0.500 0.500 0.000 Zn
0.500 0.500 0.500 H
0.000 0.500 0.500 Rh
0.500 0.000 0.500 Rh
```

---

b.
# NbZnHRh2

An optimized crystal structure of NbZnHRh2 (PBE, the Alexandria database).

Properties
Crystal system ... tetragonal

POSCAR file:
```
NbZnHRh2
1.0
4.839 0.000 0.000
0.000 4.839 0.000
0.000 0.000 3.324
Nb Zn H Rh
1 1 1 2
Direct
0.000 0.000 0.000 Nb
0.500 0.500 0.500 Zn
0.000 0.000 0.500 H
0.000 0.500 0.000 Rh
0.500 0.000 0.000 Rh
```

---

Which of them is the least stable? Correct choice: b.

---

a.
# NbH2Ru

An optimized crystal structure of NbH2Ru (PBE, the Alexandria database).

Properties
Crystal system ... cubic

POSCAR file:
```
NbH2Ru
1.0
0.000 2.682 2.682
2.682 0.000 2.682
2.682 2.682 0.000
Nb H Ru
1 2 1
Direct
0.000 0.000 0.000 Nb
0.250 0.250 0.250 H
0.750 0.750 0.750 H
0.500 0.500 0.500 Ru
```

---

b.
# NbH2Ru

An optimized crystal structure of NbH2Ru (PBE, the Alexandria database).

Properties
Crystal system ... monoclinic

POSCAR file:
```
NbH2Ru
1.0
2.963 0.000 0.000
0.000 4.359 0.000
-1.472 0.000 5.711
Nb H Ru
2 4 2
Direct
0.169 0.250 0.337 Nb
0.831 0.750 0.663 Nb
0.002 0.750 0.003 H
0.198 0.750 0.396 H
0.802 0.250 0.604 H
0.998 0.250 0.997 H
0.423 0.250 0.846 Ru
0.577 0.750 0.154 Ru
```

---

Which of them is the least stable? Correct choice: a.

---

a.
# NbH2Ru

An optimized crystal structure of NbH2Ru (PBE, the Alexandria database).

Properties
Crystal system ... tetragonal

POSCAR file:
```
NbH2Ru
1.0
-2.108 2.108 4.348
2.108 -2.108 4.348
2.108 2.108 -4.348
Nb H Ru
2 4 2
Direct
0.000 0.000 0.000 Nb
0.750 0.250 0.500 Nb
0.157 0.625 0.032 H
0.375 0.407 0.532 H
0.593 0.125 0.968 H
0.875 0.843 0.468 H
0.250 0.750 0.500 Ru
0.500 0.500 0.000 Ru
```

---

b.
# NbH2Ru

An optimized crystal structure of NbH2Ru (PBE, the Alexandria database).

Properties
Crystal system ... trigonal

POSCAR file:
```
NbH2Ru
1.0
1.461 0.844 5.239
-1.461 0.844 5.239
0.000 -1.687 5.239
Nb H Ru
1 2 1
Direct
0.000 0.000 0.000 Nb
0.419 0.419 0.419 H
0.593 0.593 0.593 H
0.808 0.808 0.808 Ru
```

---

Which of them is the least stable? Correct choice: b.

---

a.
# NbHRu

An optimized crystal structure of NbHRu (PBE, the Alexandria database).

Properties
Crystal system ... orthorhombic

POSCAR file:
```
NbHRu
1.0
2.988 0.000 0.000
0.000 3.006 0.000
0.000 0.000 3.801
Nb H Ru
1 1 1
Direct
0.000 0.000 0.000 Nb
0.500 0.500 0.000 H
0.500 0.500 0.500 Ru
```

---

b.
# NbHRu

An optimized crystal structure of NbHRu (PBE, the Alexandria database).

Properties
Crystal system ... monoclinic

POSCAR file:
```
NbHRu
1.0
4.816 -1.460 0.000
4.816 1.460 0.000
-0.854 0.000 4.861
Nb H Ru
2 2 2
Direct
0.109 0.109 0.338 Nb
0.891 0.891 0.662 Nb
0.234 0.234 0.746 H
0.766 0.766 0.254 H
0.373 0.373 0.143 Ru
0.627 0.627 0.857 Ru
```

---

Which of them is the least stable? Correct choice: b.

---

a.
# NbH2Ru2

An optimized crystal structure of NbH2Ru2 (PBE, the Alexandria database).

Properties
Crystal system ... tetragonal

POSCAR file:
```
NbH2Ru2
1.0
-1.523 1.523 5.684
1.523 -1.523 5.684
1.523 1.523 -5.684
Nb H Ru
1 2 2
Direct
0.000 0.000 0.000 Nb
0.250 0.750 0.500 H
0.750 0.250 0.500 H
0.354 0.354 0.000 Ru
0.646 0.646 0.000 Ru
```

---

b.
# NbH2Ru2

An optimized crystal structure of NbH2Ru2 (PBE, the Alexandria database).

Properties
Crystal system ... tetragonal

POSCAR file:
```
NbH2Ru2
1.0
5.977 0.000 0.000
0.000 5.977 0.000
0.000 0.000 3.046
Nb H Ru
2 4 4
Direct
0.000 0.000 0.000 Nb
0.500 0.500 0.000 Nb
0.232 0.268 0.000 H
0.268 0.768 0.000 H
0.732 0.232 0.000 H
0.768 0.732 0.000 H
0.150 0.650 0.500 Ru
0.350 0.150 0.500 Ru
0.650 0.850 0.500 Ru
0.850 0.350 0.500 Ru
```

---

Which of them is the least stable? Correct choice: b.

---

a.
# Nb2H2Ru

An optimized crystal structure of Nb2H2Ru (PBE, the Alexandria database).

Properties
Crystal system ... tetragonal

POSCAR file:
```
Nb2H2Ru
1.0
6.136 0.000 0.000
0.000 6.136 0.000
0.000 0.000 2.943
Nb H Ru
4 4 2
Direct
0.160 0.340 0.000 Nb
0.340 0.840 0.000 Nb
0.660 0.160 0.000 Nb
0.840 0.660 0.000 Nb
0.125 0.625 0.500 H
0.375 0.125 0.500 H
0.625 0.875 0.500 H
0.875 0.375 0.500 H
0.000 0.000 0.500 Ru
0.500 0.500 0.500 Ru
```

---

b.
# Nb2H2Ru

An optimized crystal structure of Nb2H2Ru (PBE, the Alexandria database).

Properties
Crystal system ... tetragonal

POSCAR file:
```
Nb2H2Ru
1.0
3.004 0.000 0.000
0.000 3.004 0.000
0.000 0.000 6.391
Nb H Ru
2 2 1
Direct
0.000 0.000 0.227 Nb
0.000 0.000 0.773 Nb
0.000 0.500 0.000 H
0.500 0.000 0.000 H
0.500 0.500 0.500 Ru
```

---

c.
# Nb2H2Ru

An optimized crystal structure of Nb2H2Ru (PBE, the Alexandria database).

Properties
Crystal system ... tetragonal

POSCAR file:
```
Nb2H2Ru
1.0
-1.498 1.498 6.223
1.498 -1.498 6.223
1.498 1.498 -6.223
Nb H Ru
2 2 1
Direct
0.142 0.142 0.000 Nb
0.858 0.858 0.000 Nb
0.250 0.750 0.500 H
0.750 0.250 0.500 H
0.500 0.500 0.000 Ru
```

---

Which of them is the least stable? Correct choice: a.

---

a.
# TiNbHRu2

An optimized crystal structure of TiNbHRu2 (PBE, the Alexandria database).

Properties
Crystal system ... tetragonal

POSCAR file:
```
TiNbHRu2
1.0
4.132 0.000 0.000
0.000 4.132 0.000
0.000 0.000 3.740
Ti Nb H Ru
1 1 1 2
Direct
0.000 0.000 0.000 Ti
0.500 0.500 0.000 Nb
0.000 0.000 0.500 H
0.000 0.500 0.500 Ru
0.500 0.000 0.500 Ru
```

---

b.
# TiNbHRu2

An optimized crystal structure of TiNbHRu2 (PBE, the Alexandria database).

Properties
Crystal system ... tetragonal

POSCAR file:
```
TiNbHRu2
1.0
4.089 0.000 0.000
0.000 4.089 0.000
0.000 0.000 3.851
Ti Nb H Ru
1 1 1 2
Direct
0.000 0.000 0.000 Ti
0.500 0.500 0.000 Nb
0.500 0.500 0.500 H
0.000 0.500 0.500 Ru
0.500 0.000 0.500 Ru
```

---

Which of them is the least stable? Correct choice: b.